# 1
DyTm2Ni2 after structural relaxation. Source: Alexandria via LeMat-Bulk, functional PBE.

Magnetization = 0.0 μB per formula unit
D(E_F) = 7.6 states/eV per cell
Energy relative to the lowest polymorph listed for this composition = 0.000 eV per atom

```
data_DyTm2Ni2
_chemical_formula_sum 'Dy2 Tm4 Ni4'
_symmetry_space_group_name_H-M 'P 1 21/m 1'
_symmetry_Int_Tables_number 11
_cell_length_a 5.196
_cell_length_b 4.373
_cell_length_c 10.011
_cell_angle_alpha 90.00
_cell_angle_beta 97.21
_cell_angle_gamma 90.00
loop_
_symmetry_equiv_pos_as_xyz
'x,y,z'
'-x,-y,-z'
'-x,y+1/2,-z'
'x,-y+1/2,z'
loop_
_atom_site_label
_atom_site_type_symbol
_atom_site_fract_x
_atom_site_fract_y
_atom_site_fract_z
_atom_site_occupancy
Dy1 Dy 0.090 0.250 0.287 1
Tm1 Tm 0.254 0.250 0.967 1
Tm2 Tm 0.394 0.250 0.618 1
Ni1 Ni 0.133 0.750 0.475 1
Ni2 Ni 0.261 0.750 0.139 1
```

=====

# 2
Dy2TmNi after structural relaxation. Source: Alexandria via LeMat-Bulk, functional PBE.

Magnetization = 0.0 μB per formula unit
D(E_F) = 17.1 states/eV per cell
Energy relative to the lowest polymorph listed for this composition = 0.352 eV per atom

```
data_Dy2TmNi
_chemical_formula_sum 'Dy6 Tm3 Ni3'
_symmetry_space_group_name_H-M 'R -3 m'
_symmetry_Int_Tables_number 166
_symmetry_space_group_name_Hall '-R 3 2"'
_cell_length_a 3.5549
_cell_length_b 3.5549
_cell_length_c 30.7695
_cell_angle_alpha 90.00
_cell_angle_beta 90.00
_cell_angle_gamma 120.00
loop_
_atom_site_label
_atom_site_type_symbol
_atom_site_fract_x
_atom_site_fract_y
_atom_site_fract_z
_atom_site_occupancy
Dy1 Dy 0.0000 0.0000 0.1103 1
Tm1 Tm 0.0000 0.0000 0.0000 1
Ni1 Ni 0.0000 0.0000 0.5000 1
```

=====

# 3
DyTmNi2 after structural relaxation. Source: Alexandria via LeMat-Bulk, functional PBE.

Magnetization = 0.0 μB per formula unit
D(E_F) = 16.5 states/eV per cell
Energy relative to the lowest polymorph listed for this composition = 0.059 eV per atom

```
data_DyTmNi2
_chemical_formula_sum 'Dy4 Tm4 Ni8'
_symmetry_space_group_name_H-M 'F m -3 m'
_symmetry_Int_Tables_number 225
_symmetry_space_group_name_Hall '-F 4 2 3'
_cell_length_a 6.707
_cell_length_b 6.707
_cell_length_c 6.707
_cell_angle_alpha 90.00
_cell_angle_beta 90.00
_cell_angle_gamma 90.00
loop_
_atom_site_label
_atom_site_type_symbol
_atom_site_fract_x
_atom_site_fract_y
_atom_site_fract_z
_atom_site_occupancy
Dy1 Dy 0.000 0.000 0.000 1
Tm1 Tm 0.000 0.000 0.500 1
Ni1 Ni 0.250 0.250 0.250 1
```

=====

# 4
Dy2Tm3Ni2 after structural relaxation. Source: Alexandria via LeMat-Bulk, functional PBE.

Magnetization = 0.0 μB per formula unit
D(E_F) = 18.9 states/eV per cell

```
data_Dy2Tm3Ni2
_chemical_formula_sum 'Dy4 Tm6 Ni4'
_symmetry_space_group_name_H-M 'C 1 2/m 1'
_symmetry_Int_Tables_number 12
_cell_length_a 12.039
_cell_length_b 3.556
_cell_length_c 8.897
_cell_angle_alpha 90.00
_cell_angle_beta 116.66
_cell_angle_gamma 90.00
loop_
_symmetry_equiv_pos_as_xyz
'x,y,z'
'-x,-y,-z'
'-x,y,-z'
'x,-y,z'
'x+1/2,y+1/2,z'
'-x+1/2,-y+1/2,-z'
'-x+1/2,y+1/2,-z'
'x+1/2,-y+1/2,z'
loop_
_atom_site_label
_atom_site_type_symbol
_atom_site_fract_x
_atom_site_fract_y
_atom_site_fract_z
_atom_site_occupancy
Dy1 Dy 0.166 0.000 0.310 1
Tm1 Tm 0.000 0.500 0.500 1
Tm2 Tm 0.116 0.500 0.933 1
Ni1 Ni 0.173 0.000 0.739 1
```

=====

# 5
DyTm2Ni2 after structural relaxation. Source: Alexandria via LeMat-Bulk, functional PBE.

Magnetization = 0.0 μB per formula unit
D(E_F) = 17.7 states/eV per cell
Energy relative to the lowest polymorph listed for this composition = 0.036 eV per atom

```
data_DyTm2Ni2
_chemical_formula_sum 'Dy4 Tm8 Ni8'
_symmetry_space_group_name_H-M 'C m c m'
_symmetry_Int_Tables_number 63
_symmetry_space_group_name_Hall '-C 2c 2'
_cell_length_a 3.615
_cell_length_b 29.684
_cell_length_c 4.185
_cell_angle_alpha 90.00
_cell_angle_beta 90.00
_cell_angle_gamma 90.00
loop_
_atom_site_label
_atom_site_type_symbol
_atom_site_fract_x
_atom_site_fract_y
_atom_site_fract_z
_atom_site_occupancy
Dy1 Dy 0.000 0.123 0.250 1
Tm1 Tm 0.000 0.215 0.750 1
Tm2 Tm 0.000 0.453 0.250 1
Ni1 Ni 0.000 0.026 0.250 1
Ni2 Ni 0.000 0.356 0.250 1
```

=====

# 6
Dy2TmNi after structural relaxation. Source: Alexandria via LeMat-Bulk, functional PBE.

Magnetization = 0.0 μB per formula unit
D(E_F) = 21.4 states/eV per cell
Energy relative to the lowest polymorph listed for this composition = 0.033 eV per atom

```
data_Dy2TmNi
_chemical_formula_sum 'Dy8 Tm4 Ni4'
_symmetry_space_group_name_H-M 'C m c m'
_symmetry_Int_Tables_number 63
_symmetry_space_group_name_Hall '-C 2c 2'
_cell_length_a 3.620
_cell_length_b 11.838
_cell_length_c 9.503
_cell_angle_alpha 90.00
_cell_angle_beta 90.00
_cell_angle_gamma 90.00
loop_
_atom_site_label
_atom_site_type_symbol
_atom_site_fract_x
_atom_site_fract_y
_atom_site_fract_z
_atom_site_occupancy
Dy1 Dy 0.000 0.136 0.069 1
Tm1 Tm 0.000 0.418 0.250 1
Ni1 Ni 0.000 0.263 0.750 1
```

=====

# 7
DyTmNi2 after structural relaxation. Source: Alexandria via LeMat-Bulk, functional PBE.

Magnetization = 0.0 μB per formula unit
D(E_F) = 2.6 states/eV per cell
Energy relative to the lowest polymorph listed for this composition = 0.057 eV per atom

```
data_DyTmNi2
_chemical_formula_sum 'Dy1 Tm1 Ni2'
_symmetry_space_group_name_H-M 'P 4/m m m'
_symmetry_Int_Tables_number 123
_symmetry_space_group_name_Hall '-P 4 2'
_cell_length_a 4.771
_cell_length_b 4.771
_cell_length_c 3.301
_cell_angle_alpha 90.00
_cell_angle_beta 90.00
_cell_angle_gamma 90.00
loop_
_atom_site_label
_atom_site_type_symbol
_atom_site_fract_x
_atom_site_fract_y
_atom_site_fract_z
_atom_site_occupancy
Dy1 Dy 0.000 0.000 0.000 1
Tm1 Tm 0.500 0.500 0.000 1
Ni1 Ni 0.000 0.500 0.500 1
```

=====

# 8
DyTm2Ni after structural relaxation. Source: Alexandria via LeMat-Bulk, functional PBE.

Magnetization = 0.0 μB per formula unit
D(E_F) = 4.5 states/eV per cell
Energy relative to the lowest polymorph listed for this composition = 0.070 eV per atom

```
data_DyTm2Ni
_chemical_formula_sum 'Dy1 Tm2 Ni1'
_symmetry_space_group_name_H-M 'P 4/m m m'
_symmetry_Int_Tables_number 123
_symmetry_space_group_name_Hall '-P 4 2'
_cell_length_a 3.391
_cell_length_b 3.391
_cell_length_c 8.579
_cell_angle_alpha 90.00
_cell_angle_beta 90.00
_cell_angle_gamma 90.00
loop_
_atom_site_label
_atom_site_type_symbol
_atom_site_fract_x
_atom_site_fract_y
_atom_site_fract_z
_atom_site_occupancy
Dy1 Dy 0.000 0.000 0.000 1
Tm1 Tm 0.500 0.500 0.314 1
Ni1 Ni 0.000 0.000 0.500 1
```

=====

# 9
DyTm2Ni after structural relaxation. Source: Alexandria via LeMat-Bulk, functional PBE.

Magnetization = 0.0 μB per formula unit
D(E_F) = 13.6 states/eV per cell
Energy relative to the lowest polymorph listed for this composition = 0.150 eV per atom

```
data_DyTm2Ni
_chemical_formula_sum 'Dy3 Tm6 Ni3'
_symmetry_space_group_name_H-M 'R 3 m'
_symmetry_Int_Tables_number 160
_symmetry_space_group_name_Hall 'R 3 -2"'
_cell_length_a 3.7545
_cell_length_b 3.7545
_cell_length_c 26.3135
_cell_angle_alpha 90.00
_cell_angle_beta 90.00
_cell_angle_gamma 120.00
loop_
_atom_site_label
_atom_site_type_symbol
_atom_site_fract_x
_atom_site_fract_y
_atom_site_fract_z
_atom_site_occupancy
Dy1 Dy 0.0000 0.0000 0.0000 1
Tm1 Tm 0.0000 0.0000 0.5567 1
Tm2 Tm 0.0000 0.0000 0.7724 1
Ni1 Ni 0.0000 0.0000 0.1638 1
```

=====

# 10
Dy2TmNi after structural relaxation. Source: Alexandria via LeMat-Bulk, functional PBE.

Magnetization = 0.0 μB per formula unit
D(E_F) = 16.4 states/eV per cell
Energy relative to the lowest polymorph listed for this composition = 0.000 eV per atom

```
data_Dy2TmNi
_chemical_formula_sum 'Dy8 Tm4 Ni4'
_symmetry_space_group_name_H-M 'P n m a'
_symmetry_Int_Tables_number 62
_cell_length_a 6.802
_cell_length_b 9.541
_cell_length_c 6.273
_cell_angle_alpha 90.00
_cell_angle_beta 90.00
_cell_angle_gamma 90.00
loop_
_symmetry_equiv_pos_as_xyz
'x,y,z'
'-x,-y,-z'
'-x+1/2,-y,z+1/2'
'x+1/2,y,-z+1/2'
'x+1/2,-y+1/2,-z+1/2'
'-x+1/2,y+1/2,z+1/2'
'-x,y+1/2,-z'
'x,-y+1/2,z'
loop_
_atom_site_label
_atom_site_type_symbol
_atom_site_fract_x
_atom_site_fract_y
_atom_site_fract_z
_atom_site_occupancy
Dy1 Dy 0.180 0.066 0.178 1
Tm1 Tm 0.035 0.250 0.641 1
Ni1 Ni 0.109 0.750 0.950 1
```

=====

# 11
Dy2Tm5Ni4 after structural relaxation. Source: Alexandria via LeMat-Bulk, functional PBE.

Magnetization = 0.0 μB per formula unit
D(E_F) = 21.4 states/eV per cell

```
data_Dy2Tm5Ni4
_chemical_formula_sum 'Dy4 Tm10 Ni8'
_symmetry_space_group_name_H-M 'C 1 2/m 1'
_symmetry_Int_Tables_number 12
_cell_length_a 21.956
_cell_length_b 3.532
_cell_length_c 6.992
_cell_angle_alpha 90.00
_cell_angle_beta 101.79
_cell_angle_gamma 90.00
loop_
_symmetry_equiv_pos_as_xyz
'x,y,z'
'-x,-y,-z'
'-x,y,-z'
'x,-y,z'
'x+1/2,y+1/2,z'
'-x+1/2,-y+1/2,-z'
'-x+1/2,y+1/2,-z'
'x+1/2,-y+1/2,z'
loop_
_atom_site_label
_atom_site_type_symbol
_atom_site_fract_x
_atom_site_fract_y
_atom_site_fract_z
_atom_site_occupancy
Dy1 Dy 0.066 0.000 0.164 1
Tm1 Tm 0.000 0.500 0.500 1
Tm2 Tm 0.159 0.000 0.620 1
Tm3 Tm 0.208 0.000 0.127 1
Ni1 Ni 0.055 0.000 0.787 1
Ni2 Ni 0.133 0.500 0.881 1
```

=====

# 12
DyTm2Ni after structural relaxation. Source: Alexandria via LeMat-Bulk, functional PBE.

Magnetization = 0.0 μB per formula unit
D(E_F) = 17.5 states/eV per cell
Energy relative to the lowest polymorph listed for this composition = 0.000 eV per atom

```
data_DyTm2Ni
_chemical_formula_sum 'Dy4 Tm8 Ni4'
_symmetry_space_group_name_H-M 'P n m a'
_symmetry_Int_Tables_number 62
_cell_length_a 6.787
_cell_length_b 9.441
_cell_length_c 6.261
_cell_angle_alpha 90.00
_cell_angle_beta 90.00
_cell_angle_gamma 90.00
loop_
_symmetry_equiv_pos_as_xyz
'x,y,z'
'-x,-y,-z'
'-x+1/2,-y,z+1/2'
'x+1/2,y,-z+1/2'
'x+1/2,-y+1/2,-z+1/2'
'-x+1/2,y+1/2,z+1/2'
'-x,y+1/2,-z'
'x,-y+1/2,z'
loop_
_atom_site_label
_atom_site_type_symbol
_atom_site_fract_x
_atom_site_fract_y
_atom_site_fract_z
_atom_site_occupancy
Dy1 Dy 0.031 0.250 0.137 1
Tm1 Tm 0.177 0.066 0.679 1
Ni1 Ni 0.110 0.750 0.444 1
```

=====

E_form, respectively: -0.35 0.09 -0.42 -0.28 -0.31 -0.22 -0.42 -0.20 -0.12 -0.26 -0.10 -0.27 eV per atom.